# 1
DFT (PBE) results for CrAg2Br5 after structural relaxation.

Properties
Electronic total energy in eV per cell: -27.4
Symmetry: Cm
Crystal system: monoclinic

Lattice parameters (Å, degrees): 7.0121 7.0121 6.1969 114.45 114.45 81.05
Closest atoms and distances in Å follow each position.
Atoms (fractional coordinates):
1 Cr 0.0000 0.0000 0.0000  5 Br 2.44-2.50
2 Ag 0.0176 0.5834 0.4163  5 Br 2.75-2.87
3 Ag 0.5834 0.0176 0.4163  5 Br 2.75-2.87
4 Br 0.2774 0.7367 0.9554  1 Cr 2.48
5 Br 0.2796 0.2796 0.2444  1 Cr 2.50, 2 Ag 2.75
6 Br 0.7274 0.7274 0.6523  1 Cr 2.50
7 Br 0.7367 0.2774 0.9554  1 Cr 2.48
8 Br 0.9735 0.9735 0.3671  1 Cr 2.44

# 2
DFT (PBE) results for Cr2AgBr after structural relaxation.

Properties
Electronic total energy in eV per cell: -21.1
Symmetry: P2/m
Crystal system: monoclinic
ΔE to the lowest computed polymorph in eV/atom: 0.349

Lattice parameters (Å, degrees): 4.8254 3.1539 5.7680 90.00 97.76 90.00
Closest atoms and distances in Å follow each position.
Atoms (fractional coordinates):
1 Cr 0.0952 0.0000 0.1440  1 Cr 1.79
2 Cr 0.9048 0.0000 0.8560  1 Cr 1.79
3 Ag 0.5000 0.5000 0.0000  4 Cr 2.73
4 Br 0.0000 0.5000 0.5000  4 Cr 2.68

# 3
DFT (PBE) results for Cr2AgBr after structural relaxation.

Properties
Electronic total energy in eV per cell: -18.9
Symmetry: Fm-3m
Crystal system: cubic
ΔE to the lowest computed polymorph in eV/atom: 0.897

Lattice parameters (Å, degrees): 4.3886 4.3886 4.3886 60.00 60.00 60.00
Closest atoms and distances in Å follow each position.
Atoms (fractional coordinates):
1 Cr 0.2500 0.2500 0.2500  4 Br 2.69, 4 Ag 2.69
2 Cr 0.7500 0.7500 0.7500  4 Br 2.69, 4 Ag 2.69
3 Ag 0.0000 0.0000 0.0000  8 Cr 2.69
4 Br 0.5000 0.5000 0.5000  8 Cr 2.69

# 4
DFT (PBE) results for Cr2AgBr after structural relaxation.

Properties
Electronic total energy in eV per cell: -20.9
Symmetry: Immm
Crystal system: orthorhombic
ΔE to the lowest computed polymorph in eV/atom: 0.418

Lattice parameters (Å, degrees): 5.4868 5.4868 5.4868 144.60 116.49 74.86
Closest atoms and distances in Å follow each position.
Atoms (fractional coordinates):
1 Cr 0.2373 0.2373 0.0000  2 Br 2.66, 2 Ag 2.83
2 Cr 0.7627 0.7627 0.0000  2 Br 2.66, 2 Ag 2.83
3 Ag 0.5000 0.0000 0.5000  4 Cr 2.83
4 Br 0.0000 0.5000 0.5000  4 Cr 2.66

# 5
DFT (PBE) results for CrAgBr after structural relaxation.

Properties
Electronic total energy in eV per cell: -12.7
Symmetry: P3m1
Crystal system: trigonal
ΔE to the lowest computed polymorph in eV/atom: 0.266

Lattice parameters (Å, degrees): 4.4838 4.4838 3.7773 90.00 90.00 120.00
Closest atoms and distances in Å follow each position.
Atoms (fractional coordinates):
1 Cr 0.0000 0.0000 0.0000  3 Br 2.63
2 Ag 0.6667 0.3333 0.4039  3 Cr 3.00, 6 Br 3.13-3.28
3 Br 0.3333 0.6667 0.8710  3 Cr 2.63

# 6
DFT (PBE) results for Cr3AgBr after structural relaxation.

Properties
Electronic total energy in eV per cell: -26.0
Symmetry: Pm-3m
Crystal system: cubic
ΔE to the lowest computed polymorph in eV/atom: 0.173

Lattice parameters (Å, degrees): 4.3664 4.3664 4.3664 90.00 90.00 90.00
Closest atoms and distances in Å follow each position.
Atoms (fractional coordinates):
1 Cr 0.0000 0.0000 0.5000  2 Br 2.18
2 Cr 0.0000 0.5000 0.0000  2 Br 2.18
3 Cr 0.5000 0.0000 0.0000  2 Br 2.18
4 Ag 0.5000 0.5000 0.5000  12 Cr 3.09
5 Br 0.0000 0.0000 0.0000  6 Cr 2.18

# 7
DFT (PBE) results for CrAg2Br2 after structural relaxation.

Properties
Electronic total energy in eV per cell: -17.6
Symmetry: I4/mmm
Crystal system: tetragonal

Lattice parameters (Å, degrees): 9.8146 9.8146 9.8146 158.29 158.29 30.89
Closest atoms and distances in Å follow each position.
Atoms (fractional coordinates):
1 Cr 0.0000 0.0000 0.0000  8 Br 3.07
2 Ag 0.2500 0.7500 0.5000  4 Ag 2.61
3 Ag 0.7500 0.2500 0.5000  4 Ag 2.61
4 Br 0.4150 0.4150 0.0000  4 Cr 3.07, 1 Br 3.22
5 Br 0.5850 0.5850 0.0000  4 Cr 3.07, 1 Br 3.22

# 8
DFT (PBE) results for Cr2AgBr after structural relaxation.

Properties
Electronic total energy in eV per cell: -21.9
Symmetry: Cm
Crystal system: monoclinic
ΔE to the lowest computed polymorph in eV/atom: 0.151

Lattice parameters (Å, degrees): 4.4334 4.4334 6.7012 97.96 97.96 42.61
Closest atoms and distances in Å follow each position.
Atoms (fractional coordinates):
1 Cr 0.0000 0.0000 0.0000  3 Cr 2.49-2.59, 1 Ag 2.72
2 Cr 0.6885 0.6885 0.8690  3 Cr 2.49-2.59, 1 Br 2.74
3 Ag 0.3056 0.3056 0.2167  5 Cr 2.72-2.88, 1 Br 2.85
4 Br 0.3822 0.3822 0.6452  5 Cr 2.74-2.92, 1 Ag 2.85

# 9
DFT (PBE) results for Cr2AgBr after structural relaxation.

Properties
Electronic total energy in eV per cell: -21.2
Symmetry: P4/mmm
Crystal system: tetragonal
ΔE to the lowest computed polymorph in eV/atom: 0.334

Lattice parameters (Å, degrees): 4.8853 4.8853 3.2961 90.00 90.00 90.00
Closest atoms and distances in Å follow each position.
Atoms (fractional coordinates):
1 Cr 0.0000 0.5000 0.0000  4 Br 2.95, 4 Ag 2.95, 2 Cr 3.30
2 Cr 0.5000 0.0000 0.0000  4 Br 2.95, 4 Ag 2.95, 2 Cr 3.30
3 Ag 0.0000 0.0000 0.5000  8 Cr 2.95, 2 Ag 3.30
4 Br 0.5000 0.5000 0.5000  8 Cr 2.95, 2 Br 3.30

# 10
DFT (PBE) results for CrAgBr after structural relaxation.

Properties
Electronic total energy in eV per cell: -13.5
Symmetry: P3m1
Crystal system: trigonal
ΔE to the lowest computed polymorph in eV/atom: 0.000

Lattice parameters (Å, degrees): 3.5223 3.5223 6.2308 90.00 90.00 120.00
Closest atoms and distances in Å follow each position.
Atoms (fractional coordinates):
1 Cr 0.0000 0.0000 0.0000  3 Br 2.63, 3 Ag 2.77
2 Ag 0.6667 0.3333 0.3009  3 Cr 2.77
3 Br 0.3333 0.6667 0.7324  3 Cr 2.63

# 11
DFT (PBE) results for CrAg2Br6 after structural relaxation.

Properties
Electronic total energy in eV per cell: -58.5
Symmetry: P4_2/mnm
Crystal system: tetragonal
ΔE to the lowest computed polymorph in eV/atom: 0.028

Lattice parameters (Å, degrees): 6.4212 6.4212 12.0732 90.00 90.00 90.00
Closest atoms and distances in Å follow each position.
Atoms (fractional coordinates):
1 Cr 0.0000 0.0000 0.0000  6 Br 2.52-2.57
2 Cr 0.5000 0.5000 0.5000  6 Br 2.52-2.57
3 Ag 0.0000 0.0000 0.3356  6 Br 2.78-2.84
4 Ag 0.0000 0.0000 0.6644  6 Br 2.78-2.84
5 Ag 0.5000 0.5000 0.1644  6 Br 2.78-2.84
6 Ag 0.5000 0.5000 0.8356  6 Br 2.78-2.84
7 Br 0.1873 0.1873 0.1539  1 Cr 2.52, 1 Ag 2.78
8 Br 0.1873 0.1873 0.8461  1 Cr 2.52, 1 Ag 2.78
9 Br 0.2173 0.2173 0.5000  1 Cr 2.57, 2 Ag 2.80
10 Br 0.2827 0.7173 0.0000  1 Cr 2.57, 2 Ag 2.80
11 Br 0.3127 0.6873 0.3461  1 Cr 2.52, 1 Ag 2.78
12 Br 0.3127 0.6873 0.6539  1 Cr 2.52, 1 Ag 2.78
13 Br 0.6873 0.3127 0.3461  1 Cr 2.52, 1 Ag 2.78
14 Br 0.6873 0.3127 0.6539  1 Cr 2.52, 1 Ag 2.78
15 Br 0.7173 0.2827 0.0000  1 Cr 2.57, 2 Ag 2.80
16 Br 0.7827 0.7827 0.5000  1 Cr 2.57, 2 Ag 2.80
17 Br 0.8127 0.8127 0.1539  1 Cr 2.52, 1 Ag 2.78
18 Br 0.8127 0.8127 0.8461  1 Cr 2.52, 1 Ag 2.78

# 12
DFT (PBE) results for CrAgBr after structural relaxation.

Properties
Electronic total energy in eV per cell: -12.8
Symmetry: F-43m
Crystal system: cubic
ΔE to the lowest computed polymorph in eV/atom: 0.242

Lattice parameters (Å, degrees): 4.6314 4.6314 4.6314 60.00 60.00 60.00
Closest atoms and distances in Å follow each position.
Atoms (fractional coordinates):
1 Cr 0.0000 0.0000 0.0000  4 Br 2.84, 4 Ag 2.84
2 Ag 0.2500 0.2500 0.2500  4 Cr 2.84
3 Br 0.7500 0.7500 0.7500  4 Cr 2.84

# 13
DFT (PBE) results for Cr3AgBr after structural relaxation.

Properties
Electronic total energy in eV per cell: -26.9
Symmetry: Pm-3m
Crystal system: cubic
ΔE to the lowest computed polymorph in eV/atom: 0.000

Lattice parameters (Å, degrees): 5.1283 5.1283 5.1283 90.00 90.00 90.00
Closest atoms and distances in Å follow each position.
Atoms (fractional coordinates):
1 Cr 0.0000 0.0000 0.5000  2 Ag 2.56
2 Cr 0.0000 0.5000 0.0000  2 Ag 2.56
3 Cr 0.5000 0.0000 0.0000  2 Ag 2.56
4 Ag 0.0000 0.0000 0.0000  6 Cr 2.56
5 Br 0.5000 0.5000 0.5000  12 Cr 3.63

The calculation returns the following D(E_F) values, one per record and in order: 2.23, 3.41, 4.92, 2.63, 1.14, 5.79, 5.13, 1.20, 2.41, 3.02, 18.57, 2.35, 4.87 states/eV per cell.
The calculation returns the following total moment values, one per record and in order: 3.0, 0.0, 0.0, 8.7, 4.2, 0.0, 4.3, 0.2, 9.2, 4.0, 4.9, 4.3, 14.0 Bohr magnetons per cell.